(1)
Density functional theory data (PBE) for a geometry-optimized Rb2AcCl3F3 structure.

a = 8.3916 Å, b = 8.3916 Å, c = 3.8834 Å
α = 90.00°, β = 90.00°, γ = 120.00°
With the nearest neighbours (Å) after each atom.
Space group P-62m (No. 189)
Inequivalent atoms, fractional coordinates:
Rb 0.3333 0.6667 0.0000 (multiplicity 2)  6 Cl 3.27, 3 F 3.53
Ac 0.0000 0.0000 0.5000 (multiplicity 1)  6 F 2.54
Cl 0.0000 0.3794 0.5000 (multiplicity 3)  1 Ac 3.18, 4 Rb 3.27, 4 F 3.37
F 0.0000 0.8055 0.0000 (multiplicity 3)  2 Ac 2.54, 2 F 2.83

VASP energy, eV/cell: -39.93
Formation energy from raw total energies, eV per atom: -2.5262

***

(2)
Density functional theory data (PBE) for a geometry-optimized Cr3Ir structure.

a = 8.2292 Å, b = 8.2292 Å, c = 2.5817 Å
α = 90.00°, β = 90.00°, γ = 120.00°
With the nearest neighbours (Å) after each atom.
Space group R-3m (No. 166, hexagonal axes)
Inequivalent atoms, fractional coordinates:
Cr 0.0000 0.5000 0.0000 (multiplicity 9)  2 Ir 2.53, 6 Cr 2.53-2.58
Ir 0.0000 0.0000 0.0000 (multiplicity 3)  6 Cr 2.53, 2 Ir 2.58

Energy of formation, eV per atom: 0.1184
VASP energy, eV/cell: -111.77

***

Which formula does entry 2 have? Cr3Ir